(1)
Density functional theory data (PBE) for a relaxed structure of K2YMg. Values from VASP.

```
&SYSTEM
  ibrav = 0, nat = 4, ntyp = 3
/
ATOMIC_SPECIES
Y 88.91 Y.upf
Mg 24.30 Mg.upf
K 39.10 K.upf
ATOMIC_POSITIONS angstrom
Y -1.0402 -2.7181 2.4594
Mg 0.3458 1.3261 3.5554
K -3.2790 0.3282 2.9357
K 0.0000 0.0000 0.0000
CELL_PARAMETERS angstrom
-1.8930 4.3724 4.0317
-4.6650 -3.7161 1.8397
2.5846 -1.7202 3.0791
```

## Properties
- ΔH_f (0 K) (kJ/mol of formula units) = 227
- spin magnetization (μB/f.u.) = 0.0
- final energy (eV per atom) = -1.97
- space group = No. 123
- calculated density (g cm⁻³) = 1.9

---

(2)
Density functional theory data (PBE) for a relaxed structure of Ca2TmMg. Values from VASP.

```
&SYSTEM
  ibrav = 0, nat = 4, ntyp = 3
/
ATOMIC_SPECIES
Tm 168.93 Tm.upf
Mg 24.30 Mg.upf
Ca 40.08 Ca.upf
ATOMIC_POSITIONS angstrom
Tm 0.0000 0.0000 0.0000
Mg -1.5229 -5.6782 3.8109
Ca -0.7615 -2.8391 1.9054
Ca -2.2844 -8.5173 5.7163
CELL_PARAMETERS angstrom
-3.7780 -2.3262 3.6109
-1.0726 -5.6151 -0.2084
1.8047 -3.4152 4.2193
```

## Properties
- ΔH_f (0 K) (kJ/mol of formula units) = 50
- spin magnetization (μB/f.u.) = 0.0
- final energy (eV per atom) = -2.39
- space group = No. 225
- calculated density (g cm⁻³) = 3.4
- energy relative to the lowest polymorph listed for this composition (meV/atom) = 42

---

(3)
Density functional theory data (PBE) for a relaxed structure of RbAgH2. Values from VASP.

```
&SYSTEM
  ibrav = 0, nat = 8, ntyp = 3
/
ATOMIC_SPECIES
Rb 85.47 Rb.upf
Ag 107.87 Ag.upf
H 1.01 H.upf
ATOMIC_POSITIONS angstrom
Rb 4.1404 -2.6599 -4.8414
Rb 2.2778 0.0927 -3.4927
Ag 0.0000 0.0000 0.0000
Ag 1.0667 -0.6243 -6.7919
H 1.3302 -2.2180 -5.8556
H 2.7411 -0.0321 -7.3677
H 0.2055 0.5647 -5.6384
H -0.0098 -0.8118 -8.3057
CELL_PARAMETERS angstrom
-0.7959 2.1284 -5.4432
5.3515 -1.9429 -1.5422
0.6516 -3.4697 -4.6479
```

## Properties
- spin magnetization (μB/f.u.) = 0.0
- final energy (eV per atom) = -2.70
- space group = No. 122
- calculated density (g cm⁻³) = 4.6
- energy relative to the lowest polymorph listed for this composition (meV/atom) = 0

---

(4)
Density functional theory data (PBE) for a relaxed structure of Ti2AlZn. Values from VASP.

```
&SYSTEM
  ibrav = 0, nat = 4, ntyp = 3
/
ATOMIC_SPECIES
Ti 47.87 Ti.upf
Zn 65.41 Zn.upf
Al 26.98 Al.upf
ATOMIC_POSITIONS angstrom
Ti 0.0000 0.0000 5.9578
Ti 0.0000 0.0000 1.9670
Zn 1.4124 1.4124 0.0000
Al 1.4124 1.4124 3.9624
CELL_PARAMETERS angstrom
2.8248 0.0000 0.0000
0.0000 2.8248 0.0000
0.0000 0.0000 7.9248
```

## Properties
- ΔH_f (0 K) (kJ/mol of formula units) = -117
- spin magnetization (μB/f.u.) = 0.0
- final energy (eV per atom) = -5.50
- space group = No. 123
- calculated density (g cm⁻³) = 4.9

---

(5)
Density functional theory data (PBE) for a relaxed structure of TePdRh. Values from VASP.

```
&SYSTEM
  ibrav = 0, nat = 3, ntyp = 3
/
ATOMIC_SPECIES
Pd 106.42 Pd.upf
Te 127.60 Te.upf
Rh 102.91 Rh.upf
ATOMIC_POSITIONS angstrom
Pd 4.3593 2.5168 1.7797
Te 2.1797 1.2584 0.8898
Rh 0.0000 0.0000 0.0000
CELL_PARAMETERS angstrom
4.3593 0.0000 0.0000
2.1797 3.7753 0.0000
2.1797 1.2584 3.5594
```

## Properties
- formation energy (no corrections) (eV/atom) = -0.14
- spin magnetization (μB/f.u.) = 0.0
- final energy (eV per atom) = -5.37
- space group = No. 216
- calculated density (g cm⁻³) = 9.6

---

(6)
Density functional theory data (PBE) for a relaxed structure of Rb2SrCl6F. Values from VASP.

```
&SYSTEM
  ibrav = 0, nat = 10, ntyp = 4
/
ATOMIC_SPECIES
Cl 35.45 Cl.upf
F 19.00 F.upf
Sr 87.62 Sr.upf
Rb 85.47 Rb.upf
ATOMIC_POSITIONS angstrom
Cl 1.9903 6.4259 0.0000
Cl 6.4259 1.9903 0.0000
Cl 6.4259 6.4259 0.0000
Cl 1.9903 1.9903 0.0000
Cl 4.2081 4.2081 1.9117
Cl 8.4162 8.4162 2.6352
F 4.2081 4.2081 0.0000
Sr 0.0000 0.0000 0.0000
Rb 8.4162 4.2081 2.2735
Rb 4.2081 8.4162 2.2735
CELL_PARAMETERS angstrom
8.4162 0.0000 0.0000
0.0000 8.4162 0.0000
4.2081 4.2081 4.5469
```

## Properties
- formation energy (no corrections) (eV/atom) = -1.29
- spin magnetization (μB/f.u.) = 1.0
- final energy (eV per atom) = -2.94
- space group = No. 139
- calculated density (g cm⁻³) = 2.5

---

(7)
Density functional theory data (PBE) for a relaxed structure of PmEr2Hg4. Values from VASP.

```
&SYSTEM
  ibrav = 0, nat = 7, ntyp = 3
/
ATOMIC_SPECIES
Hg 200.59 Hg.upf
Er 167.26 Er.upf
Pm 145.00 Pm.upf
ATOMIC_POSITIONS angstrom
Hg -3.7740 -6.8827 4.8976
Hg -1.9345 -2.1617 2.2907
Hg -5.8209 -6.0163 6.8142
Hg -3.9815 -1.2954 4.2073
Er -1.8150 -5.3784 2.6881
Er -5.9404 -2.7996 6.4168
Pm 0.0000 0.0000 0.0000
CELL_PARAMETERS angstrom
-1.2937 0.5368 4.7340
-4.7699 -0.0199 1.2730
-1.6919 -8.6950 3.0978
```

## Properties
- ΔH_f (0 K) (kJ/mol of formula units) = -197
- spin magnetization (μB/f.u.) = 0.0
- final energy (eV per atom) = -2.45
- space group = No. 166
- calculated density (g cm⁻³) = 11.3
- energy relative to the lowest polymorph listed for this composition (meV/atom) = 81

---

(8)
Density functional theory data (PBE) for a relaxed structure of Al2CoSe. Values from VASP.

```
&SYSTEM
  ibrav = 0, nat = 4, ntyp = 3
/
ATOMIC_SPECIES
Co 58.93 Co.upf
Se 78.96 Se.upf
Al 26.98 Al.upf
ATOMIC_POSITIONS angstrom
Co -0.5842 -5.2979 -2.2488
Se -0.0905 -3.9188 -0.1797
Al -2.1911 -1.8249 -0.3276
Al -0.0025 -0.0229 -0.0097
CELL_PARAMETERS angstrom
-2.8476 -4.6801 -3.0232
1.6865 -5.8494 -1.4462
-1.1267 4.7299 3.9383
```

## Properties
- formation energy (no corrections) (eV/atom) = -0.15
- spin magnetization (μB/f.u.) = 0.0
- final energy (eV per atom) = -4.67
- space group = No. 44
- calculated density (g cm⁻³) = 4.9

---

(9)
Density functional theory data (PBE) for a relaxed structure of ScBi. Values from VASP.

```
&SYSTEM
  ibrav = 0, nat = 8, ntyp = 2
/
ATOMIC_SPECIES
Bi 208.98 Bi.upf
Sc 44.96 Sc.upf
ATOMIC_POSITIONS angstrom
Bi 0.0000 2.1248 1.4830
Bi 0.0000 2.1248 10.4789
Bi 2.1248 2.1248 4.4980
Bi 0.0000 0.0000 7.4639
Sc 2.1248 0.0000 1.6075
Sc 2.1248 2.1248 7.5884
Sc 0.0000 0.0000 4.3735
Sc 2.1248 0.0000 10.3544
CELL_PARAMETERS angstrom
4.2497 0.0000 0.0000
0.0000 4.2497 0.0000
-2.1248 -2.1248 11.9619
```

## Properties
- ΔH_f (0 K) (kJ/mol of formula units) = -99
- spin magnetization (μB/f.u.) = 0.0
- final energy (eV per atom) = -5.62
- space group = No. 141
- calculated density (g cm⁻³) = 7.8

---

(10)
Density functional theory data (PBE) for a relaxed structure of ZrRuCl. Values from VASP.

```
&SYSTEM
  ibrav = 0, nat = 3, ntyp = 3
/
ATOMIC_SPECIES
Cl 35.45 Cl.upf
Ru 101.07 Ru.upf
Zr 91.22 Zr.upf
ATOMIC_POSITIONS angstrom
Cl 0.2448 0.0910 0.0000
Ru 3.4690 1.2892 0.0000
Zr 7.7601 2.8839 0.0000
CELL_PARAMETERS angstrom
6.5089 0.0549 0.0000
4.9650 4.2092 0.0000
-5.7369 -2.1321 2.2160
```

## Properties
- formation energy (no corrections) (eV/atom) = -0.35
- spin magnetization (μB/f.u.) = 0.0
- final energy (eV per atom) = -6.91
- space group = No. 107
- calculated density (g cm⁻³) = 6.3
- energy relative to the lowest polymorph listed for this composition (meV/atom) = 145

---

(11)
Density functional theory data (PBE) for a relaxed structure of LiAgRh2. Values from VASP.

```
&SYSTEM
  ibrav = 0, nat = 4, ntyp = 3
/
ATOMIC_SPECIES
Rh 102.91 Rh.upf
Ag 107.87 Ag.upf
Li 6.94 Li.upf
ATOMIC_POSITIONS angstrom
Rh 2.0667 0.8774 1.0442
Rh 0.0000 2.2370 0.1278
Ag 0.0000 2.2297 2.8337
Li 2.0667 3.5787 3.8338
CELL_PARAMETERS angstrom
4.1334 0.0000 0.0000
0.0000 2.7267 -0.0144
0.0000 1.4040 5.2503
```

## Properties
- ΔH_f (0 K) (kJ/mol of formula units) = 4
- spin magnetization (μB/f.u.) = 0.0
- final energy (eV per atom) = -4.86
- space group = No. 6
- calculated density (g cm⁻³) = 9.0
- energy relative to the lowest polymorph listed for this composition (meV/atom) = 13

---

(12)
Density functional theory data (PBE) for a relaxed structure of Hg2TePt. Values from VASP.

```
&SYSTEM
  ibrav = 0, nat = 8, ntyp = 3
/
ATOMIC_SPECIES
Te 127.60 Te.upf
Hg 200.59 Hg.upf
Pt 195.08 Pt.upf
ATOMIC_POSITIONS angstrom
Te 3.1728 6.3455 3.2914
Te 3.1728 3.1728 0.0000
Hg 4.7591 4.5956 4.9371
Hg 4.9226 1.5864 1.6457
Hg 7.9319 8.0954 4.9371
Hg 1.4229 4.7591 1.6457
Pt 6.3455 3.1728 3.2914
Pt 0.0000 0.0000 0.0000
CELL_PARAMETERS angstrom
6.3455 0.0000 0.0000
0.0000 6.3455 0.0000
3.1728 3.1728 6.5828
```

## Properties
- formation energy (no corrections) (eV/atom) = 0.34
- spin magnetization (μB/f.u.) = 0.0
- final energy (eV per atom) = -2.11
- space group = No. 122
- calculated density (g cm⁻³) = 9.1

---

(13)
Density functional theory data (PBE) for a relaxed structure of CaErGeAu. Values from VASP.

```
&SYSTEM
  ibrav = 0, nat = 4, ntyp = 4
/
ATOMIC_SPECIES
Er 167.26 Er.upf
Ca 40.08 Ca.upf
Ge 72.64 Ge.upf
Au 196.97 Au.upf
ATOMIC_POSITIONS angstrom
Er 0.0000 0.0000 0.0000
Ca 5.0770 2.9312 2.0727
Ge 2.5385 1.4656 1.0363
Au 7.6155 4.3968 3.1090
CELL_PARAMETERS angstrom
5.0770 0.0000 0.0000
2.5385 4.3968 0.0000
2.5385 1.4656 4.1453
```

## Properties
- ΔH_f (0 K) (kJ/mol of formula units) = -293
- spin magnetization (μB/f.u.) = 0.0
- final energy (eV per atom) = -4.37
- space group = No. 216
- calculated density (g cm⁻³) = 8.6